(1)
Computed, not measured: a relaxed structure of HgWSe2 at the PBE-GGA level of DFT.

Output
The uncorrected formation energy is 0.943 eV per atom. As for the space-group type: I-4m2 (119). The density of states at the Fermi level comes out at 0.76 states/eV/atom. The total energy comes out at -4.11 eV/atom.

Lattice parameters (Å, degrees): 5.498 5.498 5.498 136.00 136.00 63.98
Fractional positions:
1 Hg 0.000 0.000 0.000
2 W 0.750 0.250 0.500
3 Se 0.250 0.750 0.500
4 Se 0.500 0.500 0.000

=====

(2)
Computed, not measured: a relaxed structure of Ba2PuNpS6 at the PBE-GGA level of DFT.

Output
The uncorrected formation energy is -1.713 eV per atom. As for the space-group type: P2_1/c (14). The density of states at the Fermi level comes out at 1.64 states/eV/atom. The total energy comes out at -7.30 eV/atom.

Lattice parameters (Å, degrees): 7.237 7.432 12.612 90.00 124.98 90.00
Fractional positions:
1 Ba 0.236 0.055 0.250
2 Ba 0.236 0.445 0.750
3 Ba 0.764 0.555 0.250
4 Ba 0.764 0.945 0.750
5 Pu 0.500 0.000 0.000
6 Pu 0.500 0.500 0.500
7 Np 0.000 0.000 0.500
8 Np 0.000 0.500 0.000
9 S 0.162 0.211 0.957
10 S 0.162 0.289 0.457
11 S 0.248 0.706 0.958
12 S 0.248 0.794 0.458
13 S 0.327 0.018 0.747
14 S 0.327 0.482 0.247
15 S 0.673 0.518 0.753
16 S 0.673 0.982 0.253
17 S 0.752 0.206 0.542
18 S 0.752 0.294 0.042
19 S 0.838 0.711 0.543
20 S 0.838 0.789 0.043

=====

(3)
Computed, not measured: a relaxed structure of BaSc2Si2 at the PBE-GGA level of DFT.

Output
As for the energy above the lowest structure with this stoichiometry: 123 meV per atom. The uncorrected formation energy is -0.375 eV per atom. As for the space-group type: P4/mbm (127). The density of states at the Fermi level comes out at 0.38 states/eV/atom. The total energy comes out at -5.46 eV/atom.

Lattice parameters (Å, degrees): 8.433 8.433 3.109 90.00 90.00 90.00
Fractional positions:
1 Ba 0.000 0.000 0.000
2 Ba 0.500 0.500 0.000
3 Sc 0.127 0.373 0.000
4 Sc 0.373 0.873 0.000
5 Sc 0.627 0.127 0.000
6 Sc 0.873 0.627 0.000
7 Si 0.165 0.665 0.500
8 Si 0.335 0.165 0.500
9 Si 0.665 0.835 0.500
10 Si 0.835 0.335 0.500

=====

(4)
Computed, not measured: a relaxed structure of TlCuCl at the PBE-GGA level of DFT.

Output
As for the energy above the lowest structure with this stoichiometry: 0 meV per atom. The uncorrected formation energy is -0.221 eV per atom. As for the space-group type: P3m1 (156). The density of states at the Fermi level comes out at 0.28 states/eV/atom. The total energy comes out at -2.99 eV/atom.

Lattice parameters (Å, degrees): 3.726 3.726 5.896 90.00 90.00 120.00
Fractional positions:
1 Tl 0.000 0.000 0.000
2 Cu 0.333 0.667 0.686
3 Cl 0.667 0.333 0.502

=====

(5)
Computed, not measured: a relaxed structure of CaSmB2O6 at the PBE-GGA level of DFT.

Output
The uncorrected formation energy is -2.715 eV per atom. As for the space-group type: C2/c (15). The density of states at the Fermi level comes out at 0.40 states/eV/atom. The total energy comes out at -7.70 eV/atom.

Lattice parameters (Å, degrees): 6.483 6.483 6.993 101.00 101.00 105.88
Fractional positions:
1 Ca 0.080 0.920 0.750
2 Ca 0.920 0.080 0.250
3 Sm 0.426 0.574 0.250
4 Sm 0.574 0.426 0.750
5 B 0.095 0.422 0.752
6 B 0.422 0.095 0.252
7 B 0.578 0.905 0.748
8 B 0.905 0.578 0.248
9 O 0.055 0.464 0.253
10 O 0.063 0.228 0.613
11 O 0.228 0.063 0.113
12 O 0.293 0.504 0.901
13 O 0.464 0.055 0.753
14 O 0.496 0.707 0.599
15 O 0.504 0.293 0.401
16 O 0.536 0.945 0.247
17 O 0.707 0.496 0.099
18 O 0.772 0.937 0.887
19 O 0.937 0.772 0.387
20 O 0.945 0.536 0.747

=====

(6)
Computed, not measured: a relaxed structure of Ge2PbSe4 at the PBE-GGA level of DFT.

Output
The uncorrected formation energy is -0.197 eV per atom. As for the space-group type: I4/m (87). The density of states at the Fermi level comes out at 0.31 states/eV/atom. The total energy comes out at -4.04 eV/atom.

Lattice parameters (Å, degrees): 6.448 6.448 6.448 104.29 104.29 120.41
Fractional positions:
1 Ge 0.250 0.750 0.500
2 Ge 0.750 0.250 0.500
3 Pb 0.000 0.000 0.000
4 Se 0.190 0.341 0.531
5 Se 0.341 0.810 0.151
6 Se 0.659 0.190 0.849
7 Se 0.810 0.659 0.469

=====

(7)
Computed, not measured: a relaxed structure of Cu3Rh5 at the PBE-GGA level of DFT.

Output
As for the energy above the lowest structure with this stoichiometry: 126 meV per atom. The formation energy from the elements comes out at 1.799 eV per formula unit. As for the space-group type: C2/c (15). The density of states at the Fermi level comes out at 1.29 states/eV/atom. The total energy comes out at -5.91 eV/atom.

Lattice parameters (Å, degrees): 7.205 7.205 4.817 109.40 109.40 83.74
Fractional positions:
1 Cu 0.001 0.999 0.750
2 Cu 0.149 0.500 0.323
3 Cu 0.500 0.149 0.823
4 Cu 0.500 0.851 0.177
5 Cu 0.851 0.500 0.677
6 Cu 0.999 0.001 0.250
7 Rh 0.163 0.697 0.931
8 Rh 0.164 0.304 0.734
9 Rh 0.303 0.837 0.569
10 Rh 0.304 0.164 0.234
11 Rh 0.494 0.506 0.750
12 Rh 0.506 0.494 0.250
13 Rh 0.696 0.836 0.766
14 Rh 0.697 0.163 0.431
15 Rh 0.836 0.696 0.266
16 Rh 0.837 0.303 0.069

=====

(8)
Computed, not measured: a relaxed structure of Sm6DyHo2Th at the PBE-GGA level of DFT.

Output
The formation energy from the elements comes out at 1.473 eV per formula unit. As for the space-group type: C2/c (15). The density of states at the Fermi level comes out at 1.44 states/eV/atom. The total energy comes out at -4.80 eV/atom.

Lattice parameters (Å, degrees): 8.814 8.814 9.616 93.74 93.74 116.18
Fractional positions:
1 Sm 0.011 0.573 0.186
2 Sm 0.112 0.761 0.558
3 Sm 0.239 0.888 0.942
4 Sm 0.296 0.516 0.382
5 Sm 0.427 0.989 0.314
6 Sm 0.484 0.704 0.118
7 Sm 0.516 0.296 0.882
8 Sm 0.573 0.011 0.686
9 Sm 0.704 0.484 0.618
10 Sm 0.761 0.112 0.058
11 Sm 0.888 0.239 0.442
12 Sm 0.989 0.427 0.814
13 Dy 0.408 0.592 0.750
14 Dy 0.592 0.408 0.250
15 Ho 0.201 0.294 0.051
16 Ho 0.294 0.201 0.551
17 Ho 0.706 0.799 0.449
18 Ho 0.799 0.706 0.949
19 Th 0.031 0.969 0.250
20 Th 0.969 0.031 0.750

=====

(9)
Computed, not measured: a relaxed structure of SmPa2Ge at the PBE-GGA level of DFT.

Output
As for the energy above the lowest structure with this stoichiometry: 348 meV per atom. The formation energy from the elements comes out at 0.713 eV per formula unit. As for the space-group type: R-3m (166). The density of states at the Fermi level comes out at 1.98 states/eV/atom. The total energy comes out at -6.90 eV/atom.

Lattice parameters (Å, degrees): 11.640 11.640 11.640 15.78 15.78 15.78
Fractional positions:
1 Sm 0.000 0.000 0.000
2 Pa 0.095 0.095 0.095
3 Pa 0.905 0.905 0.905
4 Ge 0.500 0.500 0.500

=====

(10)
Computed, not measured: a relaxed structure of TbTa2FeC4 at the PBE-GGA level of DFT.

Output
The formation energy from the elements comes out at -2.602 eV per formula unit. As for the space-group type: Cmcm (63). The density of states at the Fermi level comes out at 0.40 states/eV/atom. The total energy comes out at -9.54 eV/atom.

Lattice parameters (Å, degrees): 5.734 5.734 10.837 90.00 90.00 147.44
Fractional positions:
1 Tb 0.101 0.899 0.750
2 Tb 0.899 0.101 0.250
3 Ta 0.370 0.630 0.544
4 Ta 0.370 0.630 0.956
5 Ta 0.630 0.370 0.044
6 Ta 0.630 0.370 0.456
7 Fe 0.165 0.835 0.250
8 Fe 0.835 0.165 0.750
9 C 0.000 0.000 0.000
10 C 0.000 0.000 0.500
11 C 0.265 0.735 0.117
12 C 0.265 0.735 0.383
13 C 0.422 0.578 0.750
14 C 0.578 0.422 0.250
15 C 0.735 0.265 0.617
16 C 0.735 0.265 0.883

=====

(11)
Computed, not measured: a relaxed structure of RbHg2S2 at the PBE-GGA level of DFT.

Output
As for the energy above the lowest structure with this stoichiometry: 64 meV per atom. The uncorrected formation energy is -0.283 eV per atom. As for the space-group type: I4/mmm (139). The density of states at the Fermi level comes out at 0.95 states/eV/atom. The total energy comes out at -2.25 eV/atom.

Lattice parameters (Å, degrees): 6.252 6.252 6.252 132.10 132.10 70.07
Fractional positions:
1 Rb 0.000 0.000 0.000
2 Hg 0.362 0.362 0.000
3 Hg 0.638 0.638 0.000
4 S 0.250 0.750 0.500
5 S 0.750 0.250 0.500

=====

(12)
Computed, not measured: a relaxed structure of La4MgIr at the PBE-GGA level of DFT.

Output
As for the energy above the lowest structure with this stoichiometry: 0 meV per atom. The formation energy from the elements comes out at -2.339 eV per formula unit. As for the space-group type: F-43m (216). The density of states at the Fermi level comes out at 0.94 states/eV/atom. The total energy comes out at -5.42 eV/atom.

Lattice parameters (Å, degrees): 10.190 10.190 10.190 60.00 60.00 60.00
Fractional positions:
1 La 0.189 0.189 0.811
2 La 0.189 0.811 0.189
3 La 0.189 0.811 0.811
4 La 0.346 0.346 0.346
5 La 0.346 0.346 0.962
6 La 0.346 0.962 0.346
7 La 0.560 0.560 0.940
8 La 0.560 0.940 0.560
9 La 0.560 0.940 0.940
10 La 0.811 0.189 0.189
11 La 0.811 0.189 0.811
12 La 0.811 0.811 0.189
13 La 0.940 0.560 0.560
14 La 0.940 0.560 0.940
15 La 0.940 0.940 0.560
16 La 0.962 0.346 0.346
17 Mg 0.264 0.579 0.579
18 Mg 0.579 0.264 0.579
19 Mg 0.579 0.579 0.264
20 Mg 0.579 0.579 0.579
21 Ir 0.141 0.141 0.141
22 Ir 0.141 0.141 0.576
23 Ir 0.141 0.576 0.141
24 Ir 0.576 0.141 0.141

=====

(13)
Computed, not measured: a relaxed structure of La2Pr2Er7 at the PBE-GGA level of DFT.

Output
As for the energy above the lowest structure with this stoichiometry: 4 meV per atom. The formation energy from the elements comes out at 1.738 eV per formula unit. As for the space-group type: P-1 (2). The density of states at the Fermi level comes out at 1.20 states/eV/atom. The total energy comes out at -4.51 eV/atom.

Lattice parameters (Å, degrees): 5.981 7.329 8.974 89.58 70.64 85.34
Fractional positions:
1 La 0.145 0.285 0.255
2 La 0.855 0.715 0.745
3 Pr 0.108 0.732 0.244
4 Pr 0.892 0.268 0.756
5 Er 0.269 0.938 0.501
6 Er 0.306 0.495 0.892
7 Er 0.309 0.996 0.882
8 Er 0.500 0.500 0.500
9 Er 0.691 0.004 0.118
10 Er 0.694 0.505 0.108
11 Er 0.731 0.062 0.499

=====

(14)
Computed, not measured: a relaxed structure of Na3TaNb at the PBE-GGA level of DFT.

Output
As for the energy above the lowest structure with this stoichiometry: 0 meV per atom. The formation energy from the elements comes out at 12.861 eV per formula unit. As for the space-group type: Pm-3m (221). The density of states at the Fermi level comes out at 1.28 states/eV/atom. The total energy comes out at -2.60 eV/atom.

Lattice parameters (Å, degrees): 5.169 5.169 5.169 90.00 90.00 90.00
Fractional positions:
1 Na 0.000 0.000 0.500
2 Na 0.000 0.500 0.000
3 Na 0.500 0.000 0.000
4 Ta 0.500 0.500 0.500
5 Nb 0.000 0.000 0.000

=====

(15)
Computed, not measured: a relaxed structure of ScFe4As12 at the PBE-GGA level of DFT.

Output
The formation energy from the elements comes out at -5.092 eV per formula unit. As for the space-group type: Im-3 (204). The density of states at the Fermi level comes out at 0.79 states/eV/atom. The total energy comes out at -5.95 eV/atom.

Lattice parameters (Å, degrees): 7.200 7.200 7.200 109.47 109.47 109.47
Fractional positions:
1 Sc 0.000 0.000 0.000
2 Fe 0.000 0.000 0.500
3 Fe 0.000 0.500 0.000
4 Fe 0.500 0.000 0.000
5 Fe 0.500 0.500 0.500
6 As 0.154 0.339 0.493
7 As 0.154 0.661 0.815
8 As 0.185 0.846 0.339
9 As 0.339 0.185 0.846
10 As 0.339 0.493 0.154
11 As 0.493 0.154 0.339
12 As 0.507 0.846 0.661
13 As 0.661 0.507 0.846
14 As 0.661 0.815 0.154
15 As 0.815 0.154 0.661
16 As 0.846 0.339 0.185
17 As 0.846 0.661 0.507

=====

(16)
Computed, not measured: a relaxed structure of AcCu5Pd7 at the PBE-GGA level of DFT.

Output
The formation energy from the elements comes out at -4.192 eV per formula unit. As for the space-group type: Imm2 (44). The density of states at the Fermi level comes out at 0.39 states/eV/atom. The total energy comes out at -5.01 eV/atom.

Lattice parameters (Å, degrees): 6.832 6.832 6.832 136.40 98.61 97.25
Fractional positions:
1 Ac 0.000 0.000 0.000
2 Cu 0.501 0.496 0.503
3 Cu 0.501 0.998 0.005
4 Cu 0.760 0.260 0.500
5 Cu 0.993 0.496 0.995
6 Cu 0.993 0.998 0.497
7 Pd 0.209 0.494 0.714
8 Pd 0.224 0.724 0.500
9 Pd 0.347 0.999 0.348
10 Pd 0.348 0.348 0.000
11 Pd 0.650 0.650 0.000
12 Pd 0.651 0.999 0.652
13 Pd 0.780 0.494 0.286

=====

(17)
Computed, not measured: a relaxed structure of CaTh2P3Rh12 at the PBE-GGA level of DFT.

Output
The formation energy from the elements comes out at -7.479 eV per formula unit. As for the space-group type: R-3m (166). The density of states at the Fermi level comes out at 0.86 states/eV/atom. The total energy comes out at -7.15 eV/atom.

Lattice parameters (Å, degrees): 6.783 6.783 6.783 83.13 83.13 83.13
Fractional positions:
1 Ca 0.000 0.000 0.000
2 Th 0.369 0.369 0.369
3 Th 0.631 0.631 0.631
4 P 0.000 0.000 0.500
5 P 0.000 0.500 0.000
6 P 0.500 0.000 0.000
7 Rh 0.095 0.635 0.635
8 Rh 0.179 0.179 0.659
9 Rh 0.179 0.659 0.179
10 Rh 0.341 0.821 0.821
11 Rh 0.365 0.365 0.905
12 Rh 0.365 0.905 0.365
13 Rh 0.635 0.095 0.635
14 Rh 0.635 0.635 0.095
15 Rh 0.659 0.179 0.179
16 Rh 0.821 0.341 0.821
17 Rh 0.821 0.821 0.341
18 Rh 0.905 0.365 0.365

=====

(18)
Computed, not measured: a relaxed structure of MnAs4Ru at the PBE-GGA level of DFT.

Output
As for the energy above the lowest structure with this stoichiometry: 0 meV per atom. The formation energy from the elements comes out at -0.448 eV per formula unit. As for the space-group type: P2_1/c (14). The density of states at the Fermi level comes out at 0.38 states/eV/atom. The total energy comes out at -6.25 eV/atom.

Lattice parameters (Å, degrees): 5.935 6.270 6.190 90.00 105.25 90.00
Fractional positions:
1 Mn 0.000 0.000 0.000
2 Mn 0.000 0.500 0.500
3 As 0.092 0.130 0.396
4 As 0.092 0.370 0.896
5 As 0.432 0.635 0.352
6 As 0.432 0.865 0.852
7 As 0.568 0.135 0.148
8 As 0.568 0.365 0.648
9 As 0.908 0.630 0.104
10 As 0.908 0.870 0.604
11 Ru 0.500 0.000 0.500
12 Ru 0.500 0.500 0.000

=====

(19)
Computed, not measured: a relaxed structure of HoTh2CdC at the PBE-GGA level of DFT.

Output
The formation energy from the elements comes out at -1.211 eV per formula unit. As for the space-group type: P4/mmm (123). The density of states at the Fermi level comes out at 0.68 states/eV/atom. The total energy comes out at -6.15 eV/atom.

Lattice parameters (Å, degrees): 5.084 5.084 4.938 90.00 90.00 90.00
Fractional positions:
1 Ho 0.000 0.000 0.000
2 Th 0.000 0.500 0.500
3 Th 0.500 0.000 0.500
4 Cd 0.500 0.500 0.000
5 C 0.000 0.000 0.500

=====

(20)
Computed, not measured: a relaxed structure of TiCN3 at the PBE-GGA level of DFT.

Output
The uncorrected formation energy is 2.234 eV per atom. As for the space-group type: Pm-3m (221). The density of states at the Fermi level comes out at 0.72 states/eV/atom. The total energy comes out at -6.18 eV/atom.

Lattice parameters (Å, degrees): 3.911 3.911 3.911 90.00 90.00 90.00
Fractional positions:
1 Ti 0.000 0.000 0.000
2 C 0.500 0.500 0.500
3 N 0.000 0.000 0.500
4 N 0.000 0.500 0.000
5 N 0.500 0.000 0.000